(1)
A relaxed structure of RbSn3Br. Source: Alexandria, functional PBE.

Values from the calculation:
Energy relative to the elements, uncorrected, eV/f.u.: 5.83
Calculated total energy, eV per atom: -1.763
Polymorph energy (0 for the lowest one), kcal/mol of atoms: 19.71
DOS at the Fermi energy, states/eV per cell: 7.63

Cell: 6.361 6.361 6.361 Å, 90.00 90.00 90.00°
Each line ends with the local moment (μB).
Fractional positions:
Br  0.500  0.500  0.500  0.21
Sn  0.000  0.500  0.000  0.36
Sn  0.000  0.000  0.500  0.26
Sn  0.500  0.000  0.000  0.32
Rb  0.000  0.000  0.000  0.10

(2)
A relaxed structure of IrSe2Cl. Source: Alexandria, functional PBE.

Values from the calculation:
Energy relative to the elements, uncorrected, eV/f.u.: 0.22
Calculated total energy, eV per atom: -4.365
Polymorph energy (0 for the lowest one), kcal/mol of atoms: 7.19
DOS at the Fermi energy, states/eV per cell: 1.14

Cell: 6.771 6.771 6.771 Å, 150.31 140.38 50.28°
Fractional positions:
Cl  0.404  0.404  0.000
Ir  0.254  0.754  0.500
Se  0.118  0.118  0.000
Se  0.723  0.223  0.500

(3)
A relaxed structure of CeAuI6. Source: Alexandria, functional PBE.

Values from the calculation:
Energy relative to the elements, uncorrected, eV/f.u.: -5.50
Calculated total energy, eV per atom: -3.002
Polymorph energy (0 for the lowest one), kcal/mol of atoms: 0.00
DOS at the Fermi energy, states/eV per cell: 5.58

Cell: 7.351 7.563 7.563 Å, 66.50 85.75 94.25°
Each line ends with the local moment (μB).
Fractional positions:
Ce  0.000  0.021  0.021  0.13
Au  0.500  0.021  0.021  0.01
I  0.770  0.697  0.344  -0.01
I  0.230  0.344  0.697  -0.01
I  0.261  0.055  0.309  0.00
I  0.261  0.733  0.987  0.00
I  0.739  0.987  0.733  0.00
I  0.739  0.309  0.055  0.00

(4)
A relaxed structure of LaYGa2Pt5. Source: Alexandria, functional PBE.

Values from the calculation:
Calculated total energy, eV per atom: -6.189
DOS at the Fermi energy, states/eV per cell: 5.25
Formation energy from the elements, eV/f.u.: -8.05

Cell: 4.260 4.260 9.367 Å, 90.00 90.00 90.00°
Fractional positions:
La  0.000  0.000  0.500
Y  0.000  0.000  0.000
Ga  0.500  0.500  0.130
Ga  0.500  0.500  0.870
Pt  0.000  0.500  0.267
Pt  0.500  0.000  0.267
Pt  0.000  0.500  0.733
Pt  0.500  0.000  0.733
Pt  0.500  0.500  0.500

(5)
A relaxed structure of Pa4S5F. Source: Alexandria, functional PBE.

Values from the calculation:
Energy relative to the elements, uncorrected, eV/f.u.: -15.56
Calculated total energy, eV per atom: -7.605
DOS at the Fermi energy, states/eV per cell: 33.84

Cell: 6.441 8.395 8.572 Å, 90.00 90.00 90.00°
Each line ends with the local moment (μB).
Fractional positions:
Pa  0.081  0.000  0.765  1.10
Pa  0.551  0.808  0.000  1.46
Pa  0.551  0.192  0.000  1.46
Pa  0.081  0.000  0.235  1.10
Pa  0.919  0.500  0.265  1.10
Pa  0.449  0.692  0.500  1.46
Pa  0.449  0.308  0.500  1.46
Pa  0.919  0.500  0.735  1.10
S  0.250  0.703  0.798  -0.04
S  0.250  0.297  0.798  -0.04
S  0.690  0.500  0.000  -0.04
S  0.250  0.703  0.202  -0.04
S  0.250  0.297  0.202  -0.04
S  0.750  0.797  0.298  -0.04
S  0.750  0.203  0.298  -0.04
S  0.310  0.000  0.500  -0.04
S  0.750  0.203  0.702  -0.04
S  0.750  0.797  0.702  -0.04
F  0.880  0.000  0.000  0.00
F  0.120  0.500  0.500  0.00

(6)
A relaxed structure of Ti2FeOs. Source: Alexandria, functional PBE.

Values from the calculation:
Calculated total energy, eV per atom: -8.682
DOS at the Fermi energy, states/eV per cell: 5.84
Formation energy from the elements, eV/f.u.: 0.75

Cell: 6.660 6.660 5.415 Å, 52.06 52.06 90.00°
Fractional positions:
Os  0.000  0.000  0.000
Os  0.750  0.250  0.500
Fe  0.500  0.500  0.000
Fe  0.250  0.750  0.500
Ti  0.605  0.125  0.250
Ti  0.145  0.625  0.250
Ti  0.375  0.395  0.750
Ti  0.875  0.855  0.750

Q: The highest DOS at the Fermi energy belongs to which entry?
A: Pa4S5F